Computed, not measured: H4WAuCSe4 after structural relaxation at the GGA-PBE level of DFT.

Cell and atoms, written as POSCAR:
```
H4WAuCSe4
1.0
5.857 0.000 0.000
2.922 6.379 0.000
2.922 0.000 6.380
Au C H Se W
1 1 4 4 1
Direct
0.750 0.500 0.501
0.500 0.000 0.000
0.426 0.873 0.060
0.520 0.057 0.126
0.699 0.942 0.870
0.355 0.129 0.944
0.662 0.413 0.201
0.926 0.799 0.413
0.137 0.201 0.587
0.276 0.587 0.799
0.250 0.500 0.500
```

Summary:
Its energy is -4.98 eV/atom. The spin magnetization is 0.00 μB per atom.